No. 1
{"formula": "HfTa2TiC", "functional": "PBE", "state": "optimized geometry", "lattice_angstrom": [[4.398, 0.000, 0.000], [0.000, 4.398, 0.000], [0.000, 0.000, 4.246]], "species": ["Ta", "Ta", "Hf", "C", "Ti"], "frac_coords": [[0.000, 0.500, 0.000], [0.500, 0.000, 0.000], [0.500, 0.500, 0.500], [0.000, 0.000, 0.000], [0.000, 0.000, 0.500]], "e_tot_ev_per_atom": -10.4011, "spacegroup": "P4/mmm (123)", "formation_energy_kj_per_mol_fu": -119, "dos_ef_per_ev_atom": 0.8043}

---

No. 2
{"formula": "HfTa2TiC4", "functional": "PBE", "state": "optimized geometry", "lattice_angstrom": [[3.169, 0.000, 0.000], [0.000, 5.515, -0.110], [0.000, 1.940, 5.146]], "species": ["C", "Ti", "Ta", "C", "Ta", "Hf", "C", "C"], "frac_coords": [[0.500, 0.248, 0.746], [0.000, 0.500, 0.500], [0.000, 0.000, 0.000], [0.000, 0.244, 0.257], [0.500, 0.000, 0.500], [0.500, 0.500, 0.000], [0.000, 0.756, 0.743], [0.500, 0.752, 0.254]], "e_tot_ev_per_atom": -10.5673, "spacegroup": "P2/m (10)", "formation_energy_kj_per_mol_fu": -588, "dos_ef_per_ev_atom": 0.3167}

---

No. 3
{"formula": "Hf2TaTlC", "functional": "PBE", "state": "optimized geometry", "lattice_angstrom": [[-3.778, 0.128, -2.630], [0.562, -4.072, -1.005], [-2.561, -1.246, 3.619]], "species": ["C", "Hf", "Hf", "Ta", "Tl"], "frac_coords": [[0.000, 0.000, 0.000], [0.000, 0.000, 0.500], [0.500, 0.000, 0.000], [0.000, 0.500, 0.000], [0.500, 0.500, 0.500]], "e_tot_ev_per_atom": -8.8843, "spacegroup": "P4/mmm (123)", "formation_energy_kj_per_mol_fu": -103, "dos_ef_per_ev_atom": 0.2998}

---

No. 4
{"formula": "TmHf2TaC4", "functional": "PBE", "state": "optimized geometry", "lattice_angstrom": [[3.341, 0.000, 0.000], [-1.670, 5.782, 0.000], [0.000, 0.000, 11.735]], "species": ["Hf", "C", "Tm", "Ta", "C", "Tm", "C", "Hf", "C", "C", "C", "Hf", "C", "C", "Hf", "Ta"], "frac_coords": [[0.368, 0.735, 0.529], [0.525, 0.050, 0.250], [0.139, 0.277, 0.750], [0.869, 0.739, 0.750], [0.248, 0.496, 0.118], [0.861, 0.723, 0.250], [0.752, 0.504, 0.882], [0.632, 0.265, 0.029], [0.000, 0.000, 0.500], [0.475, 0.950, 0.750], [0.752, 0.504, 0.618], [0.368, 0.735, 0.971], [0.000, 0.000, 0.000], [0.248, 0.496, 0.382], [0.632, 0.265, 0.471], [0.131, 0.261, 0.250]], "e_tot_ev_per_atom": -9.5566, "spacegroup": "Cmcm (63)", "formation_energy_kj_per_mol_fu": -321, "dos_ef_per_ev_atom": 0.1076}

---

No. 5
{"formula": "HfU2TaC4", "functional": "PBE", "state": "optimized geometry", "lattice_angstrom": [[-2.257, -1.620, -1.799], [2.843, -4.891, 0.837], [-3.965, 0.676, 4.367]], "species": ["C", "C", "Hf", "U", "U", "C", "C", "Ta"], "frac_coords": [[0.500, 0.238, 0.230], [0.500, 0.762, 0.770], [0.500, 0.500, 0.000], [0.500, 0.000, 0.500], [0.000, 0.500, 0.500], [0.000, 0.249, 0.766], [0.000, 0.751, 0.234], [0.000, 0.000, 0.000]], "e_tot_ev_per_atom": -10.6796, "spacegroup": "P2/m (10)", "formation_energy_kj_per_mol_fu": -401, "dos_ef_per_ev_atom": 0.7876}

---

No. 6
{"formula": "Hf2U3TaC6", "functional": "PBE", "state": "optimized geometry", "lattice_angstrom": [[-0.862, 2.414, 5.150], [-4.486, -1.246, -3.379], [1.439, -5.500, 1.748]], "species": ["C", "C", "U", "Ta", "C", "Hf", "C", "Hf", "U", "U", "C", "C"], "frac_coords": [[0.078, 0.404, 0.234], [0.596, 0.922, 0.766], [0.168, 0.832, 0.500], [0.000, 0.000, 0.000], [0.248, 0.248, 0.764], [0.666, 0.334, 0.000], [0.752, 0.752, 0.236], [0.334, 0.666, 0.000], [0.500, 0.500, 0.500], [0.832, 0.168, 0.500], [0.404, 0.078, 0.234], [0.922, 0.596, 0.766]], "e_tot_ev_per_atom": -10.6118, "spacegroup": "C2/m (12)", "formation_energy_kj_per_mol_fu": -615, "dos_ef_per_ev_atom": 0.7316}

---

No. 7
{"formula": "Hf2TaWC", "functional": "PBE", "state": "optimized geometry", "lattice_angstrom": [[4.547, 0.000, 0.000], [0.000, 4.112, 0.000], [0.000, 0.000, 4.547]], "species": ["Hf", "Ta", "W", "Hf", "C"], "frac_coords": [[0.000, 0.000, 0.500], [0.500, 0.500, 0.500], [0.000, 0.500, 0.000], [0.500, 0.000, 0.000], [0.000, 0.000, 0.000]], "e_tot_ev_per_atom": -10.9157, "spacegroup": "P4/mmm (123)", "formation_energy_kj_per_mol_fu": -62, "dos_ef_per_ev_atom": 0.9665}

---

No. 8
{"formula": "HfTaWC2", "functional": "PBE", "state": "optimized geometry", "lattice_angstrom": [[4.102, 0.000, 0.000], [0.000, 5.382, 0.000], [0.000, 0.000, 4.102]], "species": ["Ta", "W", "C", "C", "Hf"], "frac_coords": [[0.000, 0.000, 0.000], [0.500, 0.500, 0.500], [0.000, 0.000, 0.500], [0.500, 0.000, 0.000], [0.000, 0.500, 0.000]], "e_tot_ev_per_atom": -8.4542, "spacegroup": "P4/mmm (123)", "formation_energy_kj_per_mol_fu": 1055, "dos_ef_per_ev_atom": 0.8564}

---

No. 9
{"formula": "HfZr2TaC4", "functional": "PBE", "state": "optimized geometry", "lattice_angstrom": [[-0.201, -3.209, 0.665], [4.456, -0.978, -3.373], [1.821, 0.983, 5.289]], "species": ["C", "Zr", "C", "C", "Ta", "C", "Hf", "Zr"], "frac_coords": [[0.500, 0.759, 0.762], [0.000, 0.500, 0.500], [0.000, 0.248, 0.759], [0.500, 0.241, 0.238], [0.000, 0.000, 0.000], [0.000, 0.752, 0.241], [0.500, 0.500, 0.000], [0.500, 0.000, 0.500]], "e_tot_ev_per_atom": -10.2962, "spacegroup": "P2/m (10)", "formation_energy_kj_per_mol_fu": -634, "dos_ef_per_ev_atom": 0.1031}

---

No. 10
{"formula": "Hf2ZrTaC4", "functional": "PBE", "state": "optimized geometry", "lattice_angstrom": [[-0.622, 2.444, 2.083], [0.838, -3.503, 4.361], [4.896, 2.447, -1.408]], "species": ["Ta", "C", "Hf", "C", "C", "Zr", "C", "Hf"], "frac_coords": [[0.000, 0.000, 0.000], [0.000, 0.243, 0.751], [0.000, 0.500, 0.500], [0.500, 0.242, 0.245], [0.000, 0.757, 0.249], [0.500, 0.500, 0.000], [0.500, 0.758, 0.755], [0.500, 0.000, 0.500]], "e_tot_ev_per_atom": -10.5016, "spacegroup": "P2/m (10)", "formation_energy_kj_per_mol_fu": -657, "dos_ef_per_ev_atom": 0.1094}

---

No. 11
{"formula": "Tb2HfC", "functional": "PBE", "state": "optimized geometry", "lattice_angstrom": [[-1.202, 3.195, -0.242], [-1.120, 1.623, 2.797], [7.782, 4.937, 2.345]], "species": ["Tb", "Hf", "C", "Tb"], "frac_coords": [[0.883, 0.883, 0.352], [0.000, 0.000, 0.000], [0.500, 0.500, 0.500], [0.117, 0.117, 0.648]], "e_tot_ev_per_atom": -6.9180, "spacegroup": "R-3m (166)", "formation_energy_kj_per_mol_fu": 74, "dos_ef_per_ev_atom": 1.2361}

---

No. 12
{"formula": "TbHf2C", "functional": "PBE", "state": "optimized geometry", "lattice_angstrom": [[3.287, 0.000, 0.000], [1.643, 2.847, 0.000], [1.643, 0.949, 8.919]], "species": ["Hf", "C", "Tb", "Hf"], "frac_coords": [[0.879, 0.879, 0.362], [0.500, 0.500, 0.500], [0.000, 0.000, 0.000], [0.121, 0.121, 0.638]], "e_tot_ev_per_atom": -8.7318, "spacegroup": "R-3m (166)", "formation_energy_kj_per_mol_fu": -113, "dos_ef_per_ev_atom": 0.9550}

---

Which formula does entry 12 have? TbHf2C